## one
MoBrCl2: relaxed, PBE.

Output
As for the magnetic moment: 2.98 μB per formula unit. As for the symmetry: R3m, No. 160.

a b c (Å): 7.282 7.282 7.282
angles (deg): 31.42 31.42 31.42
Atoms (fractional coordinates):
1 Mo 0.000 0.000 0.000
2 Br 0.266 0.266 0.266
3 Cl 0.496 0.496 0.496
4 Cl 0.723 0.723 0.723

## two
MoBrCl2: relaxed, PBE.

Output
As for the magnetic moment: 3.78 μB per formula unit. As for the symmetry: C2/m, No. 12.

a b c (Å): 5.383 5.383 4.667
angles (deg): 112.57 112.57 108.52
Atoms (fractional coordinates):
1 Mo 0.000 0.000 0.000
2 Br 0.500 0.500 0.000
3 Cl 0.000 0.500 0.500
4 Cl 0.500 0.000 0.500

## three
MoBrCl2: relaxed, PBE.

Output
As for the magnetic moment: 3.11 μB per formula unit. As for the symmetry: P4/mmm, No. 123.

a b c (Å): 4.443 4.443 4.333
angles (deg): 90.00 90.00 90.00
Atoms (fractional coordinates):
1 Mo 0.000 0.000 0.000
2 Br 0.500 0.500 0.000
3 Cl 0.000 0.500 0.500
4 Cl 0.500 0.000 0.500

What are the relative energies? In meV/atom: one 0; two 600; three 736.

## one
MoBrCl2: relaxed, PBE.

Output
As for the magnetic moment: 0.11 μB per formula unit. As for the symmetry: P4mm, No. 99.

a b c (Å): 3.097 3.097 8.488
angles (deg): 90.00 90.00 90.00
Atoms (fractional coordinates):
1 Mo 0.000 0.000 0.000
2 Br 0.500 0.500 0.187
3 Cl 0.000 0.000 0.495
4 Cl 0.500 0.500 0.825

## two
MoBrCl2: relaxed, PBE.

Output
As for the magnetic moment: 1.58 μB per formula unit. As for the symmetry: Cmm2, No. 35.

a b c (Å): 3.430 3.430 10.322
angles (deg): 90.00 90.00 127.32
Atoms (fractional coordinates):
1 Mo 0.000 0.000 0.000
2 Br 0.500 0.500 0.198
3 Cl 0.000 0.000 0.498
4 Cl 0.500 0.500 0.817

What are the relative energies? In meV/atom: one 0; two 8.

## one
MoBrCl2: relaxed, PBE.

Output
As for the magnetic moment: 3.00 μB per formula unit. As for the symmetry: Fm-3m, No. 225.

a b c (Å): 4.882 4.882 4.882
angles (deg): 60.00 60.00 60.00
Atoms (fractional coordinates):
1 Mo 0.000 0.000 0.000
2 Br 0.500 0.500 0.500
3 Cl 0.250 0.250 0.250
4 Cl 0.750 0.750 0.750

## two
MoBrCl2: relaxed, PBE.

Output
As for the magnetic moment: 4.46 μB per formula unit. As for the symmetry: Pmmm, No. 47.

a b c (Å): 3.778 4.170 5.980
angles (deg): 90.00 90.00 90.00
Atoms (fractional coordinates):
1 Mo 0.000 0.000 0.000
2 Br 0.500 0.000 0.500
3 Cl 0.000 0.500 0.500
4 Cl 0.500 0.500 0.000

## three
MoBrCl2: relaxed, PBE.

Output
As for the magnetic moment: 1.18 μB per formula unit. As for the symmetry: Cmmm, No. 65.

a b c (Å): 3.352 3.352 11.364
angles (deg): 90.00 90.00 127.88
Atoms (fractional coordinates):
1 Mo 0.000 0.000 0.000
2 Br 0.000 0.000 0.500
3 Cl 0.500 0.500 0.169
4 Cl 0.500 0.500 0.831

## four
MoBrCl2: relaxed, PBE.

Output
As for the magnetic moment: 3.00 μB per formula unit. As for the symmetry: Cmmm, No. 65.

a b c (Å): 6.951 6.951 3.672
angles (deg): 90.00 90.00 135.63
Atoms (fractional coordinates):
1 Mo 0.000 0.000 0.000
2 Br 0.500 0.500 0.000
3 Cl 0.129 0.871 0.500
4 Cl 0.871 0.129 0.500

What are the relative energies? In meV/atom: one 1134; two 1201; three 478; four 0.

## one
MoBr3Cl: relaxed, PBE.

Output
As for the magnetic moment: 1.19 μB per formula unit. As for the symmetry: Imma, No. 74.

a b c (Å): 7.847 7.847 7.847
angles (deg): 128.28 83.66 119.40
Atoms (fractional coordinates):
1 Mo 0.500 0.000 0.000
2 Mo 0.500 0.500 0.500
3 Br 0.252 0.002 0.250
4 Br 0.290 0.000 0.790
5 Br 0.290 0.500 0.290
6 Br 0.710 0.000 0.210
7 Br 0.710 0.500 0.710
8 Br 0.748 0.998 0.750
9 Cl 0.277 0.527 0.750
10 Cl 0.723 0.473 0.250

## two
MoBr3Cl: relaxed, PBE.

Output
As for the magnetic moment: 4.98 μB per formula unit. As for the symmetry: Pm-3m, No. 221.

a b c (Å): 5.331 5.331 5.331
angles (deg): 90.00 90.00 90.00
Atoms (fractional coordinates):
1 Mo 0.000 0.000 0.000
2 Br 0.000 0.500 0.500
3 Br 0.500 0.000 0.500
4 Br 0.500 0.500 0.000
5 Cl 0.500 0.500 0.500

## three
MoBr3Cl: relaxed, PBE.

Output
As for the magnetic moment: 0.42 μB per formula unit. As for the symmetry: Pm-3m, No. 221.

a b c (Å): 5.049 5.049 5.049
angles (deg): 90.00 90.00 90.00
Atoms (fractional coordinates):
1 Mo 0.000 0.000 0.000
2 Br 0.000 0.000 0.500
3 Br 0.000 0.500 0.000
4 Br 0.500 0.000 0.000
5 Cl 0.500 0.500 0.500

## four
MoBr3Cl: relaxed, PBE.

Output
As for the magnetic moment: 1.99 μB per formula unit. As for the symmetry: P2_1/m, No. 11.

a b c (Å): 6.552 7.580 6.559
angles (deg): 90.00 95.39 90.00
Atoms (fractional coordinates):
1 Mo 0.002 0.250 0.002
2 Mo 0.998 0.750 0.998
3 Br 0.186 0.000 0.815
4 Br 0.186 0.500 0.815
5 Br 0.281 0.250 0.282
6 Br 0.719 0.750 0.718
7 Br 0.814 0.000 0.185
8 Br 0.814 0.500 0.185
9 Cl 0.260 0.750 0.261
10 Cl 0.740 0.250 0.739

What are the relative energies? In meV/atom: one 12; two 1539; three 544; four 0.